No. 1
Nd2SbC PBE-GGA optimized geometry; E = -5.88 eV per atom; symmetry = R-3m (166); formation energy (no corrections) = -62 kJ/mol of formula units; total moment = 0.00 μB per cell; Fermi-level density of states = 0.7 states/eV per cell
1.0
1.8354 1.0597 9.3198
-1.8354 1.0597 9.3198
0.0000 -2.1194 9.3198
Nd Sb C
2 1 1
Direct
0.1160 0.1160 0.1160
0.8840 0.8840 0.8840
0.0000 0.0000 0.0000
0.5000 0.5000 0.5000

***

No. 2
Nd5Sb2C PBE-GGA optimized geometry; E = -5.59 eV per atom; symmetry = Cmcm (63); formation energy (no corrections) = -333 kJ/mol of formula units; total moment = 0.00 μB per cell; Fermi-level density of states = 10.2 states/eV per cell
1.0
2.8674 -5.2376 0.0000
2.8674 5.2376 0.0000
0.0000 0.0000 15.6138
Nd Sb C
10 4 2
Direct
0.0954 0.9046 0.6303
0.0954 0.9046 0.8697
0.2501 0.7499 0.2500
0.4044 0.5956 0.6303
0.4044 0.5956 0.8697
0.5956 0.4044 0.1303
0.5956 0.4044 0.3697
0.7499 0.2501 0.7500
0.9046 0.0954 0.1303
0.9046 0.0954 0.3697
0.2508 0.7492 0.0572
0.2508 0.7492 0.4428
0.7492 0.2508 0.5572
0.7492 0.2508 0.9428
0.2497 0.7503 0.7500
0.7503 0.2497 0.2500

***

No. 3
Nd3SbC PBE-GGA optimized geometry; E = -6.11 eV per atom; symmetry = Pnma (62); formation energy (no corrections) = -280 kJ/mol of formula units; total moment = 0.59 μB per cell; Fermi-level density of states = 15.0 states/eV per cell
1.0
8.5332 0.0000 0.0000
0.0000 4.1066 0.0000
0.0000 0.0000 14.8765
Nd Sb C
12 4 4
Direct
0.0221 0.2500 0.0998
0.1731 0.2500 0.5058
0.2067 0.7500 0.2975
0.2933 0.2500 0.7975
0.3269 0.7500 0.0058
0.4779 0.7500 0.5998
0.5221 0.2500 0.4002
0.6731 0.2500 0.9942
0.7067 0.7500 0.2025
0.7933 0.2500 0.7025
0.8269 0.7500 0.4942
0.9779 0.7500 0.9002
0.0870 0.7500 0.6732
0.4130 0.2500 0.1732
0.5870 0.7500 0.8268
0.9130 0.2500 0.3268
0.1578 0.2500 0.9418
0.3422 0.7500 0.4418
0.6578 0.2500 0.5582
0.8422 0.7500 0.0582

***

No. 4
Nd12Sb3C5 PBE-GGA optimized geometry; E = -6.09 eV per atom; symmetry = Ia-3d (230); formation energy (no corrections) = -596 kJ/mol of formula units; total moment = 0.00 μB per cell; Fermi-level density of states = 47.9 states/eV per cell
1.0
-8.2218 8.2218 8.2218
8.2218 -8.2218 8.2218
8.2218 8.2218 -8.2218
Nd Sb C
48 12 20
Direct
0.0187 0.2010 0.1138
0.0187 0.3177 0.9050
0.0873 0.7010 0.6823
0.0873 0.8862 0.4050
0.0950 0.6138 0.4127
0.0950 0.9813 0.6823
0.1138 0.0187 0.2010
0.1138 0.5950 0.9127
0.1823 0.2010 0.5873
0.1823 0.4813 0.5950
0.2010 0.1138 0.0187
0.2010 0.5873 0.1823
0.2990 0.3177 0.9127
0.2990 0.4813 0.3862
0.3177 0.9050 0.0187
0.3177 0.9127 0.2990
0.3862 0.2990 0.4813
0.3862 0.5873 0.9050
0.4050 0.0873 0.8862
0.4050 0.8177 0.5187
0.4127 0.0950 0.6138
0.4127 0.8177 0.7990
0.4813 0.3862 0.2990
0.4813 0.5950 0.1823
0.5187 0.4050 0.8177
0.5187 0.6138 0.7010
0.5873 0.1823 0.2010
0.5873 0.9050 0.3862
0.5950 0.1823 0.4813
0.5950 0.9127 0.1138
0.6138 0.4127 0.0950
0.6138 0.7010 0.5187
0.6823 0.0873 0.7010
0.6823 0.0950 0.9813
0.7010 0.5187 0.6138
0.7010 0.6823 0.0873
0.7990 0.4127 0.8177
0.7990 0.8862 0.9813
0.8177 0.5187 0.4050
0.8177 0.7990 0.4127
0.8862 0.4050 0.0873
0.8862 0.9813 0.7990
0.9050 0.0187 0.3177
0.9050 0.3862 0.5873
0.9127 0.1138 0.5950
0.9127 0.2990 0.3177
0.9813 0.6823 0.0950
0.9813 0.7990 0.8862
0.1250 0.2500 0.3750
0.1250 0.3750 0.7500
0.2500 0.3750 0.1250
0.2500 0.8750 0.6250
0.3750 0.1250 0.2500
0.3750 0.7500 0.1250
0.6250 0.2500 0.8750
0.6250 0.8750 0.7500
0.7500 0.1250 0.3750
0.7500 0.6250 0.8750
0.8750 0.6250 0.2500
0.8750 0.7500 0.6250
0.0000 0.0000 0.0000
0.0000 0.0000 0.5000
0.0000 0.5000 0.0000
0.0000 0.5000 0.5000
0.1250 0.7500 0.8750
0.1250 0.8750 0.2500
0.2500 0.1250 0.8750
0.2500 0.6250 0.3750
0.3750 0.2500 0.6250
0.3750 0.6250 0.7500
0.5000 0.0000 0.0000
0.5000 0.0000 0.5000
0.5000 0.5000 0.0000
0.5000 0.5000 0.5000
0.6250 0.3750 0.2500
0.6250 0.7500 0.3750
0.7500 0.3750 0.6250
0.7500 0.8750 0.1250
0.8750 0.1250 0.7500
0.8750 0.2500 0.1250

***

No. 5
Nd3Sb2C PBE-GGA optimized geometry; E = -5.90 eV per atom; symmetry = C2/c (15); formation energy (no corrections) = -348 kJ/mol of formula units; total moment = 0.00 μB per cell; Fermi-level density of states = 3.4 states/eV per cell
1.0
7.1938 -3.2087 0.0000
7.1938 3.2087 0.0000
-2.0095 0.0000 7.3585
Nd Sb C
6 4 2
Direct
0.0624 0.9376 0.7500
0.3653 0.3798 0.4320
0.3798 0.3653 0.9320
0.6202 0.6347 0.0680
0.6347 0.6202 0.5680
0.9376 0.0624 0.2500
0.1705 0.1894 0.0873
0.1894 0.1705 0.5873
0.8106 0.8295 0.4127
0.8295 0.8106 0.9127
0.4412 0.5588 0.7500
0.5588 0.4412 0.2500

***

No. 6
Nd12Sb6C PBE-GGA optimized geometry; E = -5.46 eV per atom; symmetry = R-3 (148); formation energy (no corrections) = -1219 kJ/mol of formula units; total moment = 0.00 μB per cell; Fermi-level density of states = 17.2 states/eV per cell
1.0
6.6156 3.8195 4.1661
-6.6156 3.8195 4.1661
0.0000 -7.6391 4.1661
Nd Sb C
12 6 1
Direct
0.0066 0.9387 0.6997
0.0613 0.3003 0.9934
0.1920 0.5543 0.4248
0.3003 0.9934 0.0613
0.4248 0.1920 0.5543
0.4457 0.5752 0.8080
0.5543 0.4248 0.1920
0.5752 0.8080 0.4457
0.6997 0.0066 0.9387
0.8080 0.4457 0.5752
0.9387 0.6997 0.0066
0.9934 0.0613 0.3003
0.1196 0.2996 0.6430
0.2996 0.6430 0.1196
0.3570 0.8804 0.7004
0.6430 0.1196 0.2996
0.7004 0.3570 0.8804
0.8804 0.7004 0.3570
0.0000 0.0000 0.0000

***

No. 7
Nd4SnSbC PBE-GGA optimized geometry; E = -5.83 eV per atom; symmetry = Cmcm (63); formation energy (no corrections) = -421 kJ/mol of formula units; total moment = 0.00 μB per cell; Fermi-level density of states = 7.6 states/eV per cell
1.0
3.5416 -8.1888 0.0000
3.5416 8.1888 0.0000
0.0000 0.0000 7.0820
Nd Sn Sb C
8 2 2 2
Direct
0.0000 0.5000 0.0000
0.0000 0.5000 0.5000
0.0890 0.9110 0.7500
0.4101 0.5899 0.7500
0.5000 0.0000 0.0000
0.5000 0.0000 0.5000
0.5899 0.4101 0.2500
0.9110 0.0890 0.2500
0.1099 0.8901 0.2500
0.8901 0.1099 0.7500
0.3898 0.6102 0.2500
0.6102 0.3898 0.7500
0.2505 0.7495 0.7500
0.7495 0.2505 0.2500

***

No. 8
Tb2Nd2Sb2C PBE-GGA optimized geometry; E = -6.00 eV per atom; symmetry = I4/mmm (139); formation energy (no corrections) = -551 kJ/mol of formula units; total moment = 0.00 μB per cell; Fermi-level density of states = 6.9 states/eV per cell
1.0
-2.4099 2.4099 8.1790
2.4099 -2.4099 8.1790
2.4099 2.4099 -8.1790
Tb Nd Sb C
2 2 2 1
Direct
0.0000 0.5000 0.5000
0.5000 0.0000 0.5000
0.1625 0.1625 0.0000
0.8375 0.8375 0.0000
0.3626 0.3626 0.0000
0.6374 0.6374 0.0000
0.0000 0.0000 0.0000

***

No. 9
Nd4TlSbC PBE-GGA optimized geometry; E = -5.47 eV per atom; symmetry = Cmcm (63); formation energy (no corrections) = -337 kJ/mol of formula units; total moment = 0.00 μB per cell; Fermi-level density of states = 5.2 states/eV per cell
1.0
3.5504 -8.1915 0.0000
3.5504 8.1915 0.0000
0.0000 0.0000 7.0941
Nd Tl Sb C
8 2 2 2
Direct
0.0000 0.5000 0.0000
0.0000 0.5000 0.5000
0.0872 0.9128 0.7500
0.4110 0.5890 0.7500
0.5000 0.0000 0.0000
0.5000 0.0000 0.5000
0.5890 0.4110 0.2500
0.9128 0.0872 0.2500
0.1115 0.8885 0.2500
0.8885 0.1115 0.7500
0.3891 0.6109 0.2500
0.6109 0.3891 0.7500
0.2514 0.7486 0.7500
0.7486 0.2514 0.2500

***

No. 10
Nd2Y2Sb2C PBE-GGA optimized geometry; E = -6.55 eV per atom; symmetry = I4/mmm (139); formation energy (no corrections) = -570 kJ/mol of formula units; total moment = 0.00 μB per cell; Fermi-level density of states = 6.6 states/eV per cell
1.0
-2.3993 2.3993 8.1860
2.3993 -2.3993 8.1860
2.3993 2.3993 -8.1860
Nd Y Sb C
2 2 2 1
Direct
0.1628 0.1628 0.0000
0.8372 0.8372 0.0000
0.0000 0.5000 0.5000
0.5000 0.0000 0.5000
0.3626 0.3626 0.0000
0.6374 0.6374 0.0000
0.0000 0.0000 0.0000

***

No. 11
NdScC PBE-GGA optimized geometry; E = -6.94 eV per atom; symmetry = Imma (74); distance to the lowest polymorph of the same formula = 0.101 eV/atom; total moment = 0.00 μB per cell; Fermi-level density of states = 6.0 states/eV per cell
1.0
-2.3191 2.6814 5.1706
2.3191 -2.6814 5.1706
2.3191 2.6814 -5.1706
Nd Sc C
2 2 2
Direct
0.3597 0.1097 0.2500
0.6403 0.8903 0.7500
0.1026 0.3526 0.7500
0.8974 0.6474 0.2500
0.1175 0.8675 0.2500
0.8825 0.1325 0.7500

***

No. 12
NdScC PBE-GGA optimized geometry; E = -6.97 eV per atom; symmetry = P3m1 (156); distance to the lowest polymorph of the same formula = 0.066 eV/atom; total moment = 0.00 μB per cell; Fermi-level density of states = 2.5 states/eV per cell
1.0
3.5020 0.0000 0.0000
-1.7510 3.0328 0.0000
0.0000 0.0000 6.2359
Nd Sc C
1 1 1
Direct
0.0000 0.0000 0.0000
0.6667 0.3333 0.5781
0.3333 0.6667 0.7482

***

No. 13
NdScC2 PBE-GGA optimized geometry; E = -7.21 eV per atom; symmetry = R-3m (166); total moment = 0.00 μB per cell; Fermi-level density of states = 4.5 states/eV per cell
1.0
1.7855 1.0308 5.7174
-1.7855 1.0308 5.7174
0.0000 -2.0617 5.7174
Nd Sc C
1 1 2
Direct
0.0000 0.0000 0.0000
0.5000 0.5000 0.5000
0.2393 0.2393 0.2393
0.7607 0.7607 0.7607

***

No. 14
NdScC PBE-GGA optimized geometry; E = -7.04 eV per atom; symmetry = Pmmn (59); distance to the lowest polymorph of the same formula = 0.000 eV/atom; total moment = 0.00 μB per cell; Fermi-level density of states = 7.4 states/eV per cell
1.0
3.5439 0.0000 0.0000
0.0000 4.6226 0.0000
0.0000 0.0000 8.1745
Nd Sc C
2 2 2
Direct
0.2500 0.2500 0.1742
0.7500 0.7500 0.8258
0.2500 0.2500 0.5758
0.7500 0.7500 0.4242
0.2500 0.7500 0.6099
0.7500 0.2500 0.3901

***

No. 15
Nd2ScC PBE-GGA optimized geometry; E = -6.12 eV per atom; symmetry = R-3m (166); total moment = 0.01 μB per cell; Fermi-level density of states = 5.3 states/eV per cell
1.0
1.7919 1.0346 9.6581
-1.7919 1.0346 9.6581
0.0000 -2.0691 9.6581
Nd Sc C
2 1 1
Direct
0.1171 0.1171 0.1171
0.8829 0.8829 0.8829
0.0000 0.0000 0.0000
0.5000 0.5000 0.5000

***

No. 16
NdSc2C PBE-GGA optimized geometry; E = -6.88 eV per atom; symmetry = R-3m (166); total moment = 0.47 μB per cell; Fermi-level density of states = 4.4 states/eV per cell
1.0
1.6686 0.9634 9.3232
-1.6686 0.9634 9.3232
0.0000 -1.9268 9.3232
Nd Sc C
1 2 1
Direct
0.0000 0.0000 0.0000
0.1230 0.1230 0.1230
0.8770 0.8770 0.8770
0.5000 0.5000 0.5000

***

No. 17
Nd2ScTlC PBE-GGA optimized geometry; E = -5.85 eV per atom; symmetry = P4/mmm (123); total moment = 0.00 μB per cell; Fermi-level density of states = 1.9 states/eV per cell
1.0
5.1841 0.0000 0.0000
0.0000 5.1841 0.0000
0.0000 0.0000 4.5700
Nd Sc Tl C
2 1 1 1
Direct
0.0000 0.5000 0.0000
0.5000 0.0000 0.0000
0.0000 0.0000 0.5000
0.5000 0.5000 0.5000
0.0000 0.0000 0.0000

***

No. 18
Nd8CSe6 PBE-GGA optimized geometry; E = -5.91 eV per atom; symmetry = P-31m (162); formation energy (no corrections) = -1965 kJ/mol of formula units; total moment = 0.00 μB per cell; Fermi-level density of states = 4.2 states/eV per cell
1.0
8.7433 0.0000 0.0000
-4.3717 7.5719 0.0000
0.0000 0.0000 6.0313
Nd C Se
8 1 6
Direct
0.0000 0.2453 0.2451
0.0000 0.7547 0.7549
0.2453 0.0000 0.2451
0.2453 0.2453 0.7549
0.3333 0.6667 0.0000
0.6667 0.3333 0.0000
0.7547 0.0000 0.7549
0.7547 0.7547 0.2451
0.0000 0.0000 0.0000
0.0000 0.3897 0.7549
0.0000 0.6103 0.2451
0.3897 0.0000 0.7549
0.3897 0.3897 0.2451
0.6103 0.0000 0.2451
0.6103 0.6103 0.7549

***

No. 19
Nd4CSe3 PBE-GGA optimized geometry; E = -6.08 eV per atom; symmetry = Pmn2_1 (31); distance to the lowest polymorph of the same formula = 0.211 eV/atom; formation energy (no corrections) = -955 kJ/mol of formula units; total moment = 0.00 μB per cell; Fermi-level density of states = 9.1 states/eV per cell
1.0
9.2453 0.0000 0.0000
0.0000 8.8282 0.0000
0.0000 0.0000 5.8899
Nd C Se
8 2 6
Direct
0.0000 0.0914 0.0000
0.0000 0.8191 0.5212
0.2249 0.6832 0.0037
0.2751 0.3168 0.5037
0.5000 0.1809 0.0212
0.5000 0.9086 0.5000
0.7249 0.3168 0.5037
0.7751 0.6832 0.0037
0.0000 0.8163 0.9552
0.5000 0.1837 0.4552
0.0000 0.1415 0.5051
0.2265 0.3435 0.0077
0.2735 0.6565 0.5077
0.5000 0.8585 0.0051
0.7265 0.6565 0.5077
0.7735 0.3435 0.0077